Entry 1:
VASP calculation (PBE-GGA) on an optimized crystal structure of CsSeN2.

a = 4.892 Å, b = 4.892 Å, c = 20.279 Å
α = 90.00°, β = 90.00°, γ = 120.00°
Element x y z (fractional)
1 Cs 0.000 0.000 0.000
2 Cs 0.333 0.667 0.667
3 Cs 0.667 0.333 0.333
4 Se 0.000 0.000 0.500
5 Se 0.333 0.667 0.167
6 Se 0.667 0.333 0.833
7 N 0.000 0.000 0.415
8 N 0.000 0.000 0.585
9 N 0.333 0.667 0.082
10 N 0.333 0.667 0.252
11 N 0.667 0.333 0.748
12 N 0.667 0.333 0.918

Summary:
Space group = R-3m, No. 166
Raw total energy = -4.34 eV/atom
Distance to the lowest polymorph of the same formula = 1346 meV per atom


Entry 2:
VASP calculation (PBE-GGA) on an optimized crystal structure of Er6Te3SeS2.

a = 7.082 Å, b = 7.082 Å, c = 7.260 Å
α = 99.34°, β = 99.34°, γ = 120.09°
Element x y z (fractional)
1 Er 0.085 0.431 0.794
2 Er 0.221 0.221 0.203
3 Er 0.431 0.085 0.794
4 Er 0.569 0.915 0.206
5 Er 0.779 0.779 0.797
6 Er 0.915 0.569 0.206
7 Te 0.000 0.000 0.500
8 Te 0.337 0.663 0.500
9 Te 0.663 0.337 0.500
10 Se 0.500 0.500 0.000
11 S 0.167 0.833 0.000
12 S 0.833 0.167 0.000

Summary:
Space group = C2/m, No. 12
Raw total energy = -5.61 eV/atom


Entry 3:
VASP calculation (PBE-GGA) on an optimized crystal structure of NaGeBi.

a = 3.926 Å, b = 5.158 Å, c = 8.652 Å
α = 76.47°, β = 89.96°, γ = 89.55°
Element x y z (fractional)
1 Na 0.246 0.285 0.361
2 Na 0.754 0.715 0.639
3 Ge 0.248 0.671 0.016
4 Ge 0.752 0.329 0.984
5 Bi 0.254 0.159 0.763
6 Bi 0.746 0.841 0.237

Summary:
Space group = P-1, No. 2
Raw total energy = -3.33 eV/atom
Distance to the lowest polymorph of the same formula = 42 meV per atom


Entry 4:
VASP calculation (PBE-GGA) on an optimized crystal structure of SrSmHgPd.

a = 7.518 Å, b = 7.518 Å, c = 7.518 Å
α = 90.00°, β = 90.00°, γ = 90.00°
Element x y z (fractional)
1 Sr 0.000 0.000 0.000
2 Sr 0.000 0.500 0.500
3 Sr 0.500 0.000 0.500
4 Sr 0.500 0.500 0.000
5 Sm 0.000 0.000 0.500
6 Sm 0.000 0.500 0.000
7 Sm 0.500 0.000 0.000
8 Sm 0.500 0.500 0.500
9 Hg 0.250 0.250 0.250
10 Hg 0.250 0.750 0.750
11 Hg 0.750 0.250 0.750
12 Hg 0.750 0.750 0.250
13 Pd 0.250 0.250 0.750
14 Pd 0.250 0.750 0.250
15 Pd 0.750 0.250 0.250
16 Pd 0.750 0.750 0.750

Summary:
Space group = F-43m, No. 216
Raw total energy = -3.49 eV/atom


Entry 5:
VASP calculation (PBE-GGA) on an optimized crystal structure of Rb4Pu6Cl19.

a = 10.910 Å, b = 10.910 Å, c = 10.910 Å
α = 109.47°, β = 109.47°, γ = 109.47°
Element x y z (fractional)
1 Rb 0.000 0.000 0.297
2 Rb 0.000 0.297 0.000
3 Rb 0.297 0.000 0.000
4 Rb 0.703 0.703 0.703
5 Pu 0.167 0.500 0.667
6 Pu 0.333 0.833 0.500
7 Pu 0.500 0.333 0.833
8 Pu 0.500 0.667 0.167
9 Pu 0.667 0.167 0.500
10 Pu 0.833 0.500 0.333
11 Cl 0.000 0.000 0.000
12 Cl 0.000 0.356 0.356
13 Cl 0.000 0.644 0.644
14 Cl 0.032 0.676 0.275
15 Cl 0.243 0.644 0.968
16 Cl 0.275 0.032 0.676
17 Cl 0.324 0.356 0.600
18 Cl 0.356 0.000 0.356
19 Cl 0.356 0.356 0.000
20 Cl 0.356 0.600 0.324
21 Cl 0.400 0.757 0.725
22 Cl 0.600 0.324 0.356
23 Cl 0.644 0.000 0.644
24 Cl 0.644 0.644 0.000
25 Cl 0.644 0.968 0.243
26 Cl 0.676 0.275 0.032
27 Cl 0.725 0.400 0.757
28 Cl 0.757 0.725 0.400
29 Cl 0.968 0.243 0.644

Summary:
Space group = I23, No. 197
Raw total energy = -6.25 eV/atom


Entry 6:
VASP calculation (PBE-GGA) on an optimized crystal structure of DySiRh2.

a = 3.930 Å, b = 3.930 Å, c = 9.296 Å
α = 90.00°, β = 90.00°, γ = 90.00°
Element x y z (fractional)
1 Dy 0.250 0.250 0.206
2 Dy 0.750 0.750 0.794
3 Si 0.250 0.250 0.646
4 Si 0.750 0.750 0.354
5 Rh 0.250 0.250 0.897
6 Rh 0.250 0.750 0.500
7 Rh 0.750 0.250 0.500
8 Rh 0.750 0.750 0.103

Summary:
Space group = P4/nmm, No. 129
Raw total energy = -7.09 eV/atom


Please write out number 1 again, unchanged.
VASP calculation (PBE-GGA) on an optimized crystal structure of CsSeN2.

a = 4.892 Å, b = 4.892 Å, c = 20.279 Å
α = 90.00°, β = 90.00°, γ = 120.00°
Element x y z (fractional)
1 Cs 0.000 0.000 0.000
2 Cs 0.333 0.667 0.667
3 Cs 0.667 0.333 0.333
4 Se 0.000 0.000 0.500
5 Se 0.333 0.667 0.167
6 Se 0.667 0.333 0.833
7 N 0.000 0.000 0.415
8 N 0.000 0.000 0.585
9 N 0.333 0.667 0.082
10 N 0.333 0.667 0.252
11 N 0.667 0.333 0.748
12 N 0.667 0.333 0.918

Summary:
Space group = R-3m, No. 166
Raw total energy = -4.34 eV/atom
Distance to the lowest polymorph of the same formula = 1346 meV per atom


- Which value of raw total energy does entry 5 give?
  -6.25 eV/atom